# 1
Entry from Alexandria: AlTlPb2 after structural relaxation (PBE).

```
AlTlPb2
1.0
-2.561 1.022 -4.001
-2.660 -4.009 0.679
-3.121 2.518 2.641
Pb Tl Al
2 1 1
direct
0.000 0.000 0.000
0.500 0.500 0.000
0.500 0.000 0.500
0.000 0.500 0.500
```

Results
- ΔE_f (eV/f.u.) = 0.70
- density (g/cm³) = 9.46
- distance to the lowest polymorph of the same formula (kJ per mole of atoms) = 5.97

=====

# 2
Entry from Alexandria: MgVSe2 after structural relaxation (PBE).

```
MgVSe2
1.0
5.913 0.000 0.000
0.000 5.913 0.000
2.957 2.957 5.876
Mg Se V
2 4 2
direct
0.500 0.500 0.000
0.250 0.750 0.500
0.636 0.125 0.250
0.114 0.625 0.250
0.375 0.364 0.750
0.875 0.886 0.750
0.000 0.000 0.000
0.750 0.250 0.500
```

Results
- final energy (eV per atom) = -5.117
- density (g/cm³) = 3.77

=====

# 3
Entry from Alexandria: Ca2ZrCl after structural relaxation (PBE).

```
Ca2ZrCl
1.0
3.506 -0.018 0.000
-1.517 3.160 0.000
0.000 0.000 10.237
Ca Zr Cl
2 1 1
direct
0.000 0.000 0.982
0.500 0.500 0.294
0.500 0.500 0.717
0.000 0.000 0.507
```

Results
- density (g/cm³) = 3.04
- distance to the lowest polymorph of the same formula (kJ per mole of atoms) = 30.18

=====

# 4
Entry from Alexandria: UTcB2 after structural relaxation (PBE).

```
UTcB2
1.0
-0.282 2.583 1.858
-2.889 1.217 0.615
-1.503 -2.173 5.539
B U Tc
2 1 1
direct
0.735 0.735 0.795
0.265 0.265 0.205
0.500 0.500 0.500
0.000 0.000 0.000
```

Results
- ΔE_f (eV/f.u.) = -0.32
- density (g/cm³) = 11.48
- distance to the lowest polymorph of the same formula (kJ per mole of atoms) = 37.39

=====

# 5
Entry from Alexandria: La6In2CoNi after structural relaxation (PBE).

```
La6In2CoNi
1.0
7.664 -0.169 -0.015
-0.169 7.680 0.010
-3.758 -3.746 5.316
La In Co Ni
6 2 1 1
direct
0.797 0.812 0.097
0.707 0.705 0.510
0.203 0.189 0.902
0.754 0.257 0.996
0.293 0.295 0.490
0.246 0.744 0.003
0.751 0.251 0.500
0.249 0.750 0.499
0.000 0.000 0.000
0.500 0.500 0.000
```

Results
- ΔE_f (eV/f.u.) = -2.85
- density (g/cm³) = 6.27

=====

# 6
Entry from Alexandria: Cs5Ga2As5 after structural relaxation (PBE).

```
Cs5Ga2As5
1.0
4.087 0.000 0.000
-2.044 9.362 2.377
0.000 -1.113 11.293
Cs Ga As
5 2 5
direct
0.500 0.000 0.500
0.650 0.300 0.001
0.699 0.399 0.356
0.301 0.601 0.644
0.350 0.700 0.999
0.071 0.142 0.759
0.929 0.858 0.241
0.057 0.115 0.221
0.642 0.284 0.694
0.358 0.716 0.306
0.943 0.885 0.779
0.000 0.000 0.000
```

Results
- ΔE_f (eV/f.u.) = -3.50
- density (g/cm³) = 4.42

=====

# 7
Entry from Alexandria: SeIBr3 after structural relaxation (PBE).

```
SeIBr3
1.0
6.881 0.000 0.000
0.000 8.779 0.000
0.000 0.000 9.114
Se I Br
2 2 6
direct
0.137 0.500 0.228
0.637 0.000 0.772
0.163 0.500 0.517
0.663 0.000 0.483
0.705 0.000 0.165
0.436 0.781 0.812
0.936 0.281 0.188
0.205 0.500 0.835
0.936 0.719 0.188
0.436 0.219 0.812
```

Results
- density (g/cm³) = 2.69
- distance to the lowest polymorph of the same formula (kJ per mole of atoms) = 0.00

=====

# 8
Entry from Alexandria: HfFe2H8 after structural relaxation (PBE).

```
HfFe2H8
1.0
-3.573 1.400 -1.172
-1.640 -3.593 0.711
-0.848 1.177 3.992
Hf Fe H
1 2 8
direct
0.500 0.500 0.500
0.500 0.000 0.000
0.000 0.500 0.000
0.786 0.786 0.215
0.786 0.214 0.785
0.786 0.786 0.785
0.786 0.214 0.215
0.214 0.786 0.215
0.214 0.786 0.785
0.214 0.214 0.215
0.214 0.214 0.785
```

Results
- final energy (eV per atom) = -4.955
- density (g/cm³) = 7.24

=====

Repeat the fifth record exactly.
Entry from Alexandria: La6In2CoNi after structural relaxation (PBE).

```
La6In2CoNi
1.0
7.664 -0.169 -0.015
-0.169 7.680 0.010
-3.758 -3.746 5.316
La In Co Ni
6 2 1 1
direct
0.797 0.812 0.097
0.707 0.705 0.510
0.203 0.189 0.902
0.754 0.257 0.996
0.293 0.295 0.490
0.246 0.744 0.003
0.751 0.251 0.500
0.249 0.750 0.499
0.000 0.000 0.000
0.500 0.500 0.000
```

Results
- ΔE_f (eV/f.u.) = -2.85
- density (g/cm³) = 6.27

=====

Q: The lowest density belongs to which entry?
A: SeIBr3